(1)
A PBEsol-optimized structure of NbSe2Cl. Source: Alexandria via LeMat-Bulk, functional SCAN.

## Properties
E_form (uncorrected) = 0.023 eV per atom
uncorrected energy = -81.17 eV/f.u.
space group = No. 225
calculated volume = 71.50 Å³/cell

Cell lengths 4.6587, 4.6587, 4.6587 Å; angles 60.00, 60.00, 60.00 degrees
With the nearest neighbours (Å) after each atom.
Positions (direct):
1 Nb 0.5000 0.5000 0.5000  8 Se 2.85
2 Se 0.2500 0.2500 0.2500  4 Nb 2.85, 4 Cl 2.85
3 Se 0.7500 0.7500 0.7500  4 Nb 2.85, 4 Cl 2.85
4 Cl 0.0000 0.0000 0.0000  8 Se 2.85

(2)
A PBEsol-optimized structure of BaRuNF2. Source: Alexandria via LeMat-Bulk, functional SCAN.

## Properties
E_form (uncorrected) = -1.659 eV per atom
uncorrected energy = -99.04 eV/f.u.
space group = No. 123
calculated volume = 75.00 Å³/cell

Cell lengths 3.7307, 4.4835, 4.4835 Å; angles 90.00, 90.00, 90.00 degrees
With the nearest neighbours (Å) after each atom.
Positions (direct):
1 Ru 0.0000 0.0000 0.0000  2 N 1.87
2 N 0.5000 0.0000 0.0000  2 Ru 1.87
3 Ba 0.5000 0.5000 0.5000  8 F 2.92, 4 N 3.17
4 F 0.0000 0.0000 0.5000  2 Ru 2.24
5 F 0.0000 0.5000 0.0000  2 Ru 2.24

(3)
A PBEsol-optimized structure of MnRh3. Source: Alexandria via LeMat-Bulk, functional SCAN.

## Properties
uncorrected energy = -120.11 eV/f.u.
space group = No. 123
calculated volume = 51.03 Å³/cell
ΔE_f = -0.135 eV/atom

Cell lengths 2.6303, 2.6303, 7.3765 Å; angles 90.00, 90.00, 90.00 degrees
With the nearest neighbours (Å) after each atom.
Positions (direct):
1 Mn 0.0000 0.0000 0.0000  8 Rh 2.55, 4 Mn 2.63
2 Rh 0.0000 0.0000 0.5000  12 Rh 2.63-2.69
3 Rh 0.5000 0.5000 0.2363  4 Mn 2.55, 8 Rh 2.63-2.69
4 Rh 0.5000 0.5000 0.7637  4 Mn 2.55, 8 Rh 2.63-2.69

(4)
A PBEsol-optimized structure of Y2HgPbF. Source: Alexandria via LeMat-Bulk, functional SCAN.

## Properties
E_form (uncorrected) = -1.171 eV per atom
uncorrected energy = -209.03 eV/f.u.
space group = No. 123
calculated volume = 112.36 Å³/cell

Cell lengths 4.7549, 4.7549, 4.9696 Å; angles 90.00, 90.00, 90.00 degrees
With the nearest neighbours (Å) after each atom.
Positions (direct):
1 Pb 0.5000 0.5000 0.5000  4 Hg 3.36, 8 Y 3.44
2 Y 0.0000 0.5000 0.0000  2 F 2.38
3 Y 0.5000 0.0000 0.0000  2 F 2.38
4 Hg 0.0000 0.0000 0.5000  2 F 2.48
5 F 0.0000 0.0000 0.0000  4 Y 2.38, 2 Hg 2.48

(5)
A PBEsol-optimized structure of Sr2CoRu2. Source: Alexandria via LeMat-Bulk, functional SCAN.

## Properties
uncorrected energy = -128.29 eV/f.u.
space group = No. 139
calculated volume = 110.00 Å³/cell
ΔE_f = 0.643 eV/atom

Cell lengths 3.4541, 3.4541, 9.5380 Å; angles 100.43, 100.43, 90.00 degrees
With the nearest neighbours (Å) after each atom.
Positions (direct):
1 Ru 0.2500 0.7500 0.5000  4 Ru 2.44
2 Ru 0.7500 0.2500 0.5000  4 Ru 2.44
3 Co 0.0000 0.0000 0.0000  8 Sr 3.08
4 Sr 0.3981 0.3981 0.7962  4 Co 3.08, 4 Ru 3.23
5 Sr 0.6019 0.6019 0.2038  4 Co 3.08, 4 Ru 3.23

(6)
A PBEsol-optimized structure of Ba2ZnNi. Source: Alexandria via LeMat-Bulk, functional SCAN.

## Properties
uncorrected energy = -108.82 eV/f.u.
space group = No. 44
calculated volume = 140.34 Å³/cell
ΔE_f = -0.009 eV/atom

Cell lengths 4.3133, 4.3555, 8.0747 Å; angles 105.65, 105.49, 90.00 degrees
With the nearest neighbours (Å) after each atom.
Positions (direct):
1 Ni 0.5952 0.5952 0.1903  2 Zn 2.37
2 Zn 0.1613 0.6613 0.3226  2 Ni 2.37
3 Ba 0.9987 0.9987 0.9974  2 Zn 3.26, 4 Ni 3.39
4 Ba 0.7449 0.2449 0.4897  2 Ni 3.12, 4 Zn 3.31

(7)
A PBEsol-optimized structure of ScCoRu2. Source: Alexandria via LeMat-Bulk, functional SCAN.

## Properties
uncorrected energy = -101.45 eV/f.u.
space group = No. 225
calculated volume = 55.51 Å³/cell
ΔE_f = -0.065 eV/atom

Cell lengths 4.2819, 4.2819, 4.2819 Å; angles 60.00, 60.00, 60.00 degrees
With the nearest neighbours (Å) after each atom.
Positions (direct):
1 Co 0.0000 0.0000 0.0000  8 Ru 2.62
2 Ru 0.7500 0.7500 0.7500  4 Co 2.62, 4 Sc 2.62
3 Ru 0.2500 0.2500 0.2500  4 Co 2.62, 4 Sc 2.62
4 Sc 0.5000 0.5000 0.5000  8 Ru 2.62

(8)
A PBEsol-optimized structure of Ca2YW. Source: Alexandria via LeMat-Bulk, functional SCAN.

## Properties
distance to the lowest polymorph of the same formula = 0 meV per atom
uncorrected energy = -114.13 eV/f.u.
space group = No. 99
calculated volume = 113.97 Å³/cell
ΔE_f = 0.683 eV/atom

Cell lengths 3.6997, 3.6997, 8.3267 Å; angles 90.00, 90.00, 90.00 degrees
With the nearest neighbours (Å) after each atom.
Positions (direct):
1 Y 0.5000 0.5000 0.6858  4 W 2.87, 1 Ca 3.14
2 Ca 0.0000 0.0000 0.9606  1 W 3.46, 4 Y 3.48, 4 Ca 3.70
3 Ca 0.5000 0.5000 0.3084  1 Y 3.14, 4 W 3.28
4 W 0.0000 0.0000 0.5453  4 Y 2.87

(9)
A PBEsol-optimized structure of MgS2BrN. Source: Alexandria via LeMat-Bulk, functional SCAN.

## Properties
E_form (uncorrected) = 1.042 eV per atom
uncorrected energy = -47.77 eV/f.u.
space group = No. 123
calculated volume = 89.69 Å³/cell

Cell lengths 3.6854, 4.9332, 4.9332 Å; angles 90.00, 90.00, 90.00 degrees
With the nearest neighbours (Å) after each atom.
Positions (direct):
1 S 0.0000 0.0000 0.5000  2 Br 2.47
2 S 0.0000 0.5000 0.0000  2 Br 2.47
3 Mg 0.5000 0.5000 0.5000  8 S 3.08
4 Br 0.0000 0.0000 0.0000  2 N 1.84
5 N 0.5000 0.0000 0.0000  2 Br 1.84

(10)
A PBEsol-optimized structure of CaZrHg. Source: Alexandria via LeMat-Bulk, functional SCAN.

## Properties
uncorrected energy = -107.27 eV/f.u.
space group = No. 216
calculated volume = 78.27 Å³/cell
ΔE_f = 0.418 eV/atom

Cell lengths 4.8015, 4.8015, 4.8015 Å; angles 60.00, 60.00, 60.00 degrees
With the nearest neighbours (Å) after each atom.
Positions (direct):
1 Ca 0.0000 0.0000 0.0000  4 Zr 2.94
2 Hg 0.5000 0.5000 0.5000  4 Zr 2.94
3 Zr 0.2500 0.2500 0.2500  4 Hg 2.94, 4 Ca 2.94

(11)
A PBEsol-optimized structure of As3AuN. Source: Alexandria via LeMat-Bulk, functional SCAN.

## Properties
E_form (uncorrected) = 1.804 eV per atom
uncorrected energy = -130.00 eV/f.u.
space group = No. 221
calculated volume = 125.41 Å³/cell

Cell lengths 5.0055, 5.0055, 5.0055 Å; angles 90.00, 90.00, 90.00 degrees
With the nearest neighbours (Å) after each atom.
Positions (direct):
1 As 0.0000 0.5000 0.0000  2 Au 2.50
2 As 0.0000 0.0000 0.5000  2 Au 2.50
3 As 0.5000 0.0000 0.0000  2 Au 2.50
4 Au 0.0000 0.0000 0.0000  6 As 2.50
5 N 0.5000 0.5000 0.5000  12 As 3.54

(12)
A PBEsol-optimized structure of AlHgN3. Source: Alexandria via LeMat-Bulk, functional SCAN.

## Properties
E_form (uncorrected) = 2.522 eV per atom
uncorrected energy = -91.18 eV/f.u.
space group = No. 221
calculated volume = 71.17 Å³/cell

Cell lengths 4.1441, 4.1441, 4.1441 Å; angles 90.00, 90.00, 90.00 degrees
With the nearest neighbours (Å) after each atom.
Positions (direct):
1 N 0.0000 0.5000 0.0000  2 Hg 2.07
2 N 0.0000 0.0000 0.5000  2 Hg 2.07
3 N 0.5000 0.0000 0.0000  2 Hg 2.07
4 Hg 0.0000 0.0000 0.0000  6 N 2.07
5 Al 0.5000 0.5000 0.5000  12 N 2.93